1.
Entry from the Open Quantum Materials Database: a relaxed structure of Ag2SnW (GGA-PBE).

Summary:
The calculation puts the total energy at -0.366 Ry per atom.

```
4
Lattice="0.000 3.320 3.320 3.320 0.000 3.320 3.320 3.320 0.000" Properties=species:S:1:pos:R:3 pbc="T T T"
Ag 0.000 0.000 0.000
Ag 1.660 1.660 1.660
Sn 3.320 3.320 3.320
W 4.979 4.979 4.979
```

2.
Entry from the Open Quantum Materials Database: a relaxed structure of Re2Ir2O5 (GGA-PBE).

Summary:
The calculation puts the total energy at -0.535 Ry per atom. Its energy relative to the lowest polymorph listed for this composition is 172 meV per atom.

```
9
Lattice="3.353 0.000 0.000 0.000 3.353 0.000 0.000 0.000 8.219" Properties=species:S:1:pos:R:3 pbc="T T T"
Re 0.000 0.000 0.000
Re 0.000 0.000 4.110
Ir 1.676 1.676 1.296
Ir 1.676 1.676 6.924
O 0.000 1.676 2.653
O 0.000 1.676 5.566
O 1.676 0.000 2.653
O 1.676 0.000 5.566
O 1.676 1.676 4.110
```

3.
Entry from the Open Quantum Materials Database: a relaxed structure of TaSiIr (GGA-PBE).

Summary:
The calculation puts the total energy at -0.687 Ry per atom.

```
6
Lattice="4.214 0.000 0.000 -2.107 3.650 0.000 0.000 0.000 6.147" Properties=species:S:1:pos:R:3 pbc="T T T"
Ta 0.000 0.000 0.000
Ta 0.000 0.000 3.074
Si 0.000 2.433 1.465
Si 2.107 1.217 4.538
Ir 0.000 2.433 5.133
Ir 2.107 1.217 2.059
```

4.
Entry from the Open Quantum Materials Database: a relaxed structure of HfZnPb2 (GGA-PBE).

Summary:
The calculation puts the total energy at -0.312 Ry per atom.

```
4
Lattice="0.000 3.685 3.685 3.685 0.000 3.685 3.685 3.685 0.000" Properties=species:S:1:pos:R:3 pbc="T T T"
Hf 0.000 0.000 0.000
Zn 5.527 5.527 5.527
Pb 1.842 1.842 1.842
Pb 3.685 3.685 3.685
```

5.
Entry from the Open Quantum Materials Database: a relaxed structure of HoTaN2O (GGA-PBE).

Summary:
The calculation puts the total energy at -0.702 Ry per atom.

```
20
Lattice="5.576 0.000 0.000 -2.785 4.851 0.000 -2.746 -1.594 9.131" Properties=species:S:1:pos:R:3 pbc="T T T"
Ho 0.000 0.000 0.000
Ho -2.721 1.626 4.463
Ho 0.185 -0.271 6.789
Ho 0.179 2.987 2.275
Ta 0.137 -0.174 3.298
Ta -2.575 1.474 7.987
Ta 2.860 1.402 1.115
Ta 0.021 3.115 5.752
N -0.953 1.002 1.994
N 1.084 2.150 0.280
N -1.578 3.735 4.775
N -0.939 1.763 6.785
N 1.817 0.174 2.240
N 0.435 -1.468 8.739
N 2.525 2.980 2.481
N 2.577 -0.327 7.105
O -1.527 -0.273 4.580
O -3.637 2.533 6.384
O 0.575 1.786 4.209
O 1.146 1.322 8.947
```

6.
Entry from the Open Quantum Materials Database: a relaxed structure of Li4Mg2AlHg (GGA-PBE).

Summary:
The calculation puts the total energy at -0.150 Ry per atom.

```
8
Lattice="4.658 0.000 0.000 0.000 4.658 0.000 0.000 0.000 6.566" Properties=species:S:1:pos:R:3 pbc="T T T"
Li 0.000 0.000 0.000
Li 0.000 2.329 1.618
Li 2.329 0.000 4.947
Li 2.329 2.329 3.283
Mg 0.000 2.329 4.938
Mg 2.329 0.000 1.628
Al 2.329 2.329 0.000
Hg 0.000 0.000 3.283
```

7.
Entry from the Open Quantum Materials Database: a relaxed structure of CsOsSeO (GGA-PBE).

Summary:
The calculation puts the total energy at -0.416 Ry per atom. Its energy relative to the lowest polymorph listed for this composition is 0 meV per atom.

```
8
Lattice="4.408 0.000 0.000 0.000 7.437 0.000 0.000 0.000 7.200" Properties=species:S:1:pos:R:3 pbc="T T T"
Cs 0.000 1.402 0.000
Cs 0.000 6.034 3.600
Os 2.204 3.272 3.191
Os 2.204 4.165 6.791
Se 0.000 2.209 3.472
Se 0.000 5.228 7.072
O 2.204 3.483 1.335
O 2.204 3.954 4.935
```

8.
Entry from the Open Quantum Materials Database: a relaxed structure of Y2HoNi2B2P3 (GGA-PBE).

Summary:
The calculation puts the total energy at -0.495 Ry per atom.

```
10
Lattice="-1.966 1.966 10.661 1.966 -1.966 10.661 1.966 1.966 -10.661" Properties=species:S:1:pos:R:3 pbc="T T T"
Y 0.000 0.000 2.909
Y 0.000 0.000 18.412
Ho 0.000 0.000 10.661
Ni 1.966 0.000 5.330
Ni 0.000 1.966 5.330
B 0.000 0.000 5.992
B 0.000 0.000 15.329
P 0.000 0.000 0.000
P 0.000 0.000 7.938
P 0.000 0.000 13.383
```

9.
Entry from the Open Quantum Materials Database: a relaxed structure of YHoCo (GGA-PBE).

Summary:
The calculation puts the total energy at -0.385 Ry per atom. The energy relative to the elements is 0.8138 eV/atom. Its energy relative to the lowest polymorph listed for this composition is 0 meV per atom.

```
3
Lattice="0.000 3.286 3.286 3.286 0.000 3.286 3.286 3.286 0.000" Properties=species:S:1:pos:R:3 pbc="T T T"
Y 0.000 0.000 0.000
Ho 4.930 4.930 4.930
Co 3.286 3.286 3.286
```

10.
Entry from the Open Quantum Materials Database: a relaxed structure of AgBPt3 (GGA-PBE).

Summary:
The calculation puts the total energy at -0.423 Ry per atom.

```
10
Lattice="4.915 -2.858 0.000 4.915 2.858 0.000 -1.637 0.000 5.269" Properties=species:S:1:pos:R:3 pbc="T T T"
Ag -0.064 0.000 1.421
Ag 8.256 0.000 3.849
B 1.629 0.000 5.265
B 6.564 0.000 0.004
Pt 2.395 1.408 1.418
Pt 3.312 0.000 3.852
Pt 5.798 1.408 3.852
Pt 2.395 -1.408 1.418
Pt 4.880 0.000 1.418
Pt 5.798 -1.408 3.852
```

11.
Entry from the Open Quantum Materials Database: a relaxed structure of SrNiW2 (GGA-PBE).

Summary:
The calculation puts the total energy at -0.538 Ry per atom.

```
4
Lattice="0.000 3.292 3.292 3.292 0.000 3.292 3.292 3.292 0.000" Properties=species:S:1:pos:R:3 pbc="T T T"
Sr 0.000 0.000 0.000
Ni 4.939 4.939 4.939
W 1.646 1.646 1.646
W 3.292 3.292 3.292
```

12.
Entry from the Open Quantum Materials Database: a relaxed structure of Ni3W10 (GGA-PBE).

Summary:
The calculation puts the total energy at -0.796 Ry per atom. The energy relative to the elements is 0.4187 eV/atom. Its energy relative to the lowest polymorph listed for this composition is 72 meV per atom.

```
13
Lattice="2.565 1.481 9.019 -2.565 1.481 9.019 0.000 -2.961 9.019" Properties=species:S:1:pos:R:3 pbc="T T T"
Ni 0.000 0.000 0.000
Ni 0.000 0.000 4.482
Ni 0.000 0.000 22.575
W 0.000 -1.475 6.909
W -1.278 0.738 6.909
W 0.000 0.000 9.509
W -1.278 -0.738 20.149
W 0.000 0.000 12.250
W 0.000 0.000 14.808
W 1.278 0.738 6.909
W 0.000 0.000 17.549
W 1.278 -0.738 20.149
W 0.000 1.475 20.149
```